1.
# LiAlIn, relaxed, DFT PBE
# - V (Å³/cell) = 229.1
# - final energy (eV per atom) = -2.9003
data_LiAlIn
_chemical_formula_sum 'Li4 Al4 In4'
_cell_length_a 3.2595
_cell_length_b 15.1150
_cell_length_c 4.6494
_cell_angle_alpha 90.00
_cell_angle_beta 90.00
_cell_angle_gamma 90.00
_space_group_name_H-M_alt 'C m c m'
_space_group_IT_number 63
_space_group_name_Hall '-C 2c 2'
loop_
_atom_site_label
_atom_site_type_symbol
_atom_site_fract_x
_atom_site_fract_y
_atom_site_fract_z
Li1 Li 0.0000 0.1113 0.2500
Al1 Al 0.0000 0.2319 0.7500
In1 In 0.0000 0.4369 0.2500

=====

2.
# Li3Al12In5, relaxed, DFT PBE
# - V (Å³/cell) = 3971.6
# - final energy (eV per atom) = -2.8525
data_Li3Al12In5
_chemical_formula_sum 'Li24 Al96 In40'
_cell_length_a 15.8364
_cell_length_b 15.8364
_cell_length_c 15.8364
_cell_angle_alpha 90.00
_cell_angle_beta 90.00
_cell_angle_gamma 90.00
_space_group_name_H-M_alt 'I a -3 d'
_space_group_IT_number 230
_space_group_name_Hall '-I 4bd 2c 3'
loop_
_atom_site_label
_atom_site_type_symbol
_atom_site_fract_x
_atom_site_fract_y
_atom_site_fract_z
Li1 Li 0.0000 0.2500 0.1250
Al1 Al 0.0034 0.0830 0.6525
In1 In 0.0000 0.0000 0.0000
In2 In 0.0000 0.2500 0.3750

=====

3.
# LiAlIn, relaxed, DFT PBE
# - V (Å³/cell) = 246.8
# - final energy (eV per atom) = -2.7821
data_LiAlIn
_chemical_formula_sum 'Li4 Al4 In4'
_cell_length_a 3.0540
_cell_length_b 15.0863
_cell_length_c 5.3576
_cell_angle_alpha 90.00
_cell_angle_beta 90.00
_cell_angle_gamma 90.00
_space_group_name_H-M_alt 'C m c m'
_space_group_IT_number 63
_space_group_name_Hall '-C 2c 2'
loop_
_atom_site_label
_atom_site_type_symbol
_atom_site_fract_x
_atom_site_fract_y
_atom_site_fract_z
Li1 Li 0.0000 0.0000 0.0000
Al1 Al 0.0000 0.3684 0.2500
In1 In 0.0000 0.1814 0.2500

=====

4.
# Li15Al2In2, relaxed, DFT PBE
# - V (Å³/cell) = 1006.6
# - final energy (eV per atom) = -2.2550
data_Li15Al2In2
_chemical_formula_sum 'Li45 Al6 In6'
_cell_length_a 8.2585
_cell_length_b 8.2585
_cell_length_c 17.0419
_cell_angle_alpha 90.00
_cell_angle_beta 90.00
_cell_angle_gamma 120.00
_space_group_name_H-M_alt 'R -3 m'
_space_group_IT_number 166
_space_group_name_Hall '-R 3 2"'
loop_
_atom_site_label
_atom_site_type_symbol
_atom_site_fract_x
_atom_site_fract_y
_atom_site_fract_z
Li1 Li 0.0000 0.2992 0.0000
Li2 Li 0.0000 0.5000 0.5000
Li3 Li 0.0846 0.5423 0.1060
Al1 Al 0.0000 0.0000 0.0840
In1 In 0.0000 0.0000 0.2844

=====

> What is the final energy in the first record?

-2.9003 eV per atom

=====

What did the fourth record say?
# Li15Al2In2, relaxed, DFT PBE
# - V (Å³/cell) = 1006.6
# - final energy (eV per atom) = -2.2550
data_Li15Al2In2
_chemical_formula_sum 'Li45 Al6 In6'
_cell_length_a 8.2585
_cell_length_b 8.2585
_cell_length_c 17.0419
_cell_angle_alpha 90.00
_cell_angle_beta 90.00
_cell_angle_gamma 120.00
_space_group_name_H-M_alt 'R -3 m'
_space_group_IT_number 166
_space_group_name_Hall '-R 3 2"'
loop_
_atom_site_label
_atom_site_type_symbol
_atom_site_fract_x
_atom_site_fract_y
_atom_site_fract_z
Li1 Li 0.0000 0.2992 0.0000
Li2 Li 0.0000 0.5000 0.5000
Li3 Li 0.0846 0.5423 0.1060
Al1 Al 0.0000 0.0000 0.0840
In1 In 0.0000 0.0000 0.2844

=====

> Which of these has the highest V?

Li3Al12In5